# DyTmAlCo PBE-GGA relaxed
data_DyTmAlCo
_cell_length_a 4.919
_cell_length_b 4.919
_cell_length_c 4.919
_cell_angle_alpha 60.00
_cell_angle_beta 60.00
_cell_angle_gamma 60.00
_space_group_name_H-M_alt 'P 1'
_space_group_IT_number 1
_space_group_name_Hall 'P 1'
loop_
_atom_site_label
_atom_site_fract_x
_atom_site_fract_y
_atom_site_fract_z
_atom_site_occupancy
Co1 0.250 0.250 0.250 1
Al1 0.750 0.750 0.750 1
Tm1 0.500 0.500 0.500 1
Dy1 0.000 0.000 0.000 1
# **Density**: 8233 kg/m³
# **Fermi-level density of states**: 3.078 states/eV/f.u.
# **E_form**: -0.222 eV/atom

=====

# Nd6Dy8Zr PBE-GGA relaxed
data_Nd6Dy8Zr
_cell_length_a 8.653
_cell_length_b 8.653
_cell_length_c 8.653
_cell_angle_alpha 63.43
_cell_angle_beta 63.43
_cell_angle_gamma 63.43
_space_group_name_H-M_alt 'P 1'
_space_group_IT_number 1
_space_group_name_Hall 'P 1'
loop_
_atom_site_label
_atom_site_fract_x
_atom_site_fract_y
_atom_site_fract_z
_atom_site_occupancy
Nd1 0.543 0.225 0.104 1
Nd2 0.896 0.457 0.775 1
Dy1 0.244 0.888 0.281 1
Nd3 0.775 0.896 0.457 1
Zr1 0.000 0.000 0.000 1
Dy2 0.281 0.244 0.888 1
Dy3 0.719 0.756 0.112 1
Dy4 0.112 0.719 0.756 1
Nd4 0.225 0.104 0.543 1
Nd5 0.104 0.543 0.225 1
Dy5 0.756 0.112 0.719 1
Dy6 0.577 0.577 0.577 1
Dy7 0.888 0.281 0.244 1
Dy8 0.423 0.423 0.423 1
Nd6 0.457 0.775 0.896 1
# **Density**: 7603 kg/m³
# **Fermi-level density of states**: 20.866 states/eV/f.u.
# **E_form**: 0.128 eV/atom

=====

# CeSm4Rh2 PBE-GGA relaxed
data_CeSm4Rh2
_cell_length_a 6.446
_cell_length_b 7.847
_cell_length_c 7.849
_cell_angle_alpha 108.97
_cell_angle_beta 90.00
_cell_angle_gamma 90.00
_space_group_name_H-M_alt 'P 1'
_space_group_IT_number 1
_space_group_name_Hall 'P 1'
loop_
_atom_site_label
_atom_site_fract_x
_atom_site_fract_y
_atom_site_fract_z
_atom_site_occupancy
Ce1 0.250 0.132 0.368 1
Sm1 0.000 0.308 0.808 1
Rh1 0.250 0.325 0.174 1
Sm2 0.500 0.692 0.192 1
Sm3 0.750 0.423 0.437 1
Sm4 0.250 0.577 0.563 1
Ce2 0.750 0.868 0.632 1
Sm5 0.750 0.065 0.078 1
Sm6 0.500 0.308 0.808 1
Rh2 0.750 0.061 0.439 1
Sm7 0.000 0.692 0.192 1
Rh3 0.250 0.939 0.561 1
Sm8 0.250 0.935 0.922 1
Rh4 0.750 0.675 0.826 1
# **Density**: 8381 kg/m³
# **Fermi-level density of states**: 9.470 states/eV/f.u.
# **E_form**: -0.330 eV/atom

=====

# AgSnPd PBE-GGA relaxed
data_AgSnPd
_cell_length_a 4.482
_cell_length_b 4.482
_cell_length_c 4.482
_cell_angle_alpha 60.00
_cell_angle_beta 60.00
_cell_angle_gamma 60.00
_space_group_name_H-M_alt 'P 1'
_space_group_IT_number 1
_space_group_name_Hall 'P 1'
loop_
_atom_site_label
_atom_site_fract_x
_atom_site_fract_y
_atom_site_fract_z
_atom_site_occupancy
Ag1 0.500 0.500 0.500 1
Sn1 0.000 0.000 0.000 1
Pd1 0.250 0.250 0.250 1
# **Density**: 8688 kg/m³
# **Energy above the lowest structure with this stoichiometry**: 0.15 eV/f.u.
# **Fermi-level density of states**: 1.249 states/eV/f.u.
# **E_form**: -0.197 eV/atom